Entry from the Alexandria database: BeAgIr2 after structural relaxation (PBE-GGA).

a b c (Å): 3.8327 3.8327 3.8481
angles (deg): 90.00 90.00 90.00
Space group P4/mmm (No. 123)
Asymmetric unit:
1 Be 0.0000 0.0000 0.0000 [1 per cell]
2 Ag 0.5000 0.5000 0.0000 [1 per cell]
3 Ir 0.0000 0.5000 0.5000 [2 per cell]

Values from the calculation:
Energy of formation from the pure elements: 356 meV/atom
Energy: -5.72 eV per atom